No. 1
Computed, not measured: a relaxed La4YGa4 crystal at the PBE-GGA level of DFT.

Output
Energy   -4.657 eV/atom
Calculated density   5725 kg/m³
Total magnetization   0.000 μB per formula unit
Energy of formation   -0.403 eV per atom

Unit cell a=6.5188 b=9.0652 c=9.0652 alpha=90.00 beta=90.00 gamma=90.00
With the nearest neighbours (Å) after each atom.
Fractional positions:
Y 0.0000 0.0000 0.0000  4 Ga 2.84
La 0.8670 0.4103 0.2063  4 Ga 3.05-3.29, 1 La 3.38
Ga 0.8391 0.7355 0.1206  1 Ga 2.63, 1 Y 2.84
La 0.6330 0.0897 0.2937  4 Ga 3.05-3.29, 1 La 3.38
La 0.6330 0.9103 0.7063  4 Ga 3.05-3.29, 1 La 3.38
Ga 0.1609 0.1206 0.2645  1 Ga 2.63, 1 Y 2.84
Ga 0.6609 0.7645 0.3794  1 Ga 2.63, 1 Y 2.84
La 0.3670 0.2937 0.9103  4 Ga 3.05-3.29, 1 La 3.38
Ga 0.8391 0.2645 0.8794  1 Ga 2.63, 1 Y 2.84
Ga 0.1609 0.8794 0.7355  1 Ga 2.63, 1 Y 2.84
Ga 0.3391 0.6206 0.7645  1 Ga 2.63, 1 Y 2.84
La 0.1330 0.7937 0.4103  4 Ga 3.05-3.29, 1 La 3.38
La 0.8670 0.5897 0.7937  4 Ga 3.05-3.29, 1 La 3.38
La 0.1330 0.2063 0.5897  4 Ga 3.05-3.29, 1 La 3.38
Ga 0.6609 0.2355 0.6206  1 Ga 2.63, 1 Y 2.84
Ga 0.3391 0.3794 0.2355  1 Ga 2.63, 1 Y 2.84
La 0.3670 0.7063 0.0897  4 Ga 3.05-3.29, 1 La 3.38
Y 0.5000 0.5000 0.5000  4 Ga 2.84

---

No. 2
Computed, not measured: a relaxed LaY3Ga crystal at the PBE-GGA level of DFT.

Output
Energy   -4.600 eV/atom
Calculated density   4482 kg/m³
Total magnetization   0.000 μB per formula unit
Energy of formation   0.870 eV per atom

Unit cell a=5.6054 b=5.6054 c=5.6054 alpha=90.00 beta=90.00 gamma=90.00
With the nearest neighbours (Å) after each atom.
Fractional positions:
Y 0.0000 0.0000 0.5000  2 La 2.80
Y 0.0000 0.5000 0.0000  2 La 2.80
Ga 0.5000 0.5000 0.5000  12 Y 3.96
Y 0.5000 0.0000 0.0000  2 La 2.80
La 0.0000 0.0000 0.0000  6 Y 2.80